The following is a DFT calculation (PBE) of crystalline TiNb14Os at its relaxed geometry.

Calculated values
V (Å³ per atom): 17.8
Formation energy (kcal/mol of atoms): -1.7
SG: No. 65

Cell lengths 5.686, 5.686, 9.338 Å; angles 90.00, 90.00, 109.15 degrees
Fractional positions:
Ti (0.125, 0.875, 0.500)
Nb (0.125, 0.875, 0.000)
Nb (0.625, 0.375, 0.000)
Nb (0.125, 0.375, 0.500)
Nb (0.125, 0.375, 0.000)
Nb (0.625, 0.875, 0.500)
Nb (0.625, 0.875, 0.000)
Nb (0.380, 0.130, 0.743)
Nb (0.380, 0.130, 0.257)
Nb (0.870, 0.620, 0.743)
Nb (0.870, 0.620, 0.257)
Nb (0.372, 0.628, 0.746)
Nb (0.372, 0.628, 0.254)
Nb (0.878, 0.122, 0.746)
Nb (0.878, 0.122, 0.254)
Os (0.625, 0.375, 0.500)